The following is a DFT calculation (GGA-PBE) of crystalline Mn2NbS4 at its relaxed geometry.

abc: 3.2595 6.1966 13.3686
angles: 90.00 90.00 105.25
Last column: nearest neighbours and their distance in Å.
Positions (direct):
Mn (0.0943, 0.1886, 0.3965)  5 S 2.42-2.44
Mn (0.9057, 0.8114, 0.8965)  5 S 2.42-2.44
Mn (0.0943, 0.1886, 0.1035)  5 S 2.42-2.44
Mn (0.9057, 0.8114, 0.6035)  5 S 2.42-2.44
Nb (0.6867, 0.3735, 0.7500)  6 S 2.50-2.52
Nb (0.3133, 0.6265, 0.2500)  6 S 2.50-2.52
S (0.7450, 0.4900, 0.1216)  2 Mn 2.44, 2 Nb 2.50
S (0.7450, 0.4900, 0.3784)  2 Mn 2.44, 2 Nb 2.50
S (0.2550, 0.5100, 0.8784)  2 Mn 2.44, 2 Nb 2.50
S (0.2550, 0.5100, 0.6216)  2 Mn 2.44, 2 Nb 2.50
S (0.0259, 0.0518, 0.7500)  2 Mn 2.43, 2 Nb 2.52
S (0.9741, 0.9482, 0.2500)  2 Mn 2.43, 2 Nb 2.52
S (0.5000, 0.0000, 0.0000)  4 Mn 2.42
S (0.5000, 0.0000, 0.5000)  4 Mn 2.42

DFT total energy: -7.033 eV per atom
total moment: 8.3 μB/f.u.
density of states at the Fermi level: 4.3 states/eV per cell
formation energy from raw total energies: -0.62 eV per atom
space-group type: Cmcm (63)